The following is a DFT calculation (PBE) of Li4ThGa2 after structural relaxation.

calculated volume	19.04	A^3/atom
E_form	-0.2302	eV/atom
E	-3.2486	eV/atom

The structure in CIF format:
```
data_Li4ThGa2
_chemical_formula_sum 'Li8 Th2 Ga4'
_symmetry_space_group_name_H-M 'P 1'
_symmetry_Int_Tables_number 1
_symmetry_space_group_name_Hall 'P 1'
_cell_length_a 4.457
_cell_length_b 7.734
_cell_length_c 7.734
_cell_angle_alpha 90.00
_cell_angle_beta 90.00
_cell_angle_gamma 90.00
loop_
_atom_site_label
_atom_site_fract_x
_atom_site_fract_y
_atom_site_fract_z
Li1 0.000 0.350 0.097
Li2 0.000 0.650 0.903
Li3 0.500 0.150 0.597
Li4 0.500 0.597 0.150
Li5 0.000 0.097 0.350
Li6 0.500 0.850 0.403
Li7 0.000 0.903 0.650
Li8 0.500 0.403 0.850
Ga1 0.000 0.213 0.787
Ga2 0.500 0.287 0.287
Ga3 0.500 0.713 0.713
Ga4 0.000 0.787 0.213
Th1 0.500 0.000 0.000
Th2 0.000 0.500 0.500
```

***

The following is a DFT calculation (PBE) of BeFe2Ag after structural relaxation.

calculated volume	12.16	A^3/atom
E_form	0.1551	eV/atom
E	-5.7206	eV/atom

The structure in CIF format:
```
data_BeFe2Ag
_chemical_formula_sum 'Be1 Fe2 Ag1'
_symmetry_space_group_name_H-M 'P 1'
_symmetry_Int_Tables_number 1
_symmetry_space_group_name_Hall 'P 1'
_cell_length_a 2.617
_cell_length_b 2.617
_cell_length_c 7.103
_cell_angle_alpha 90.00
_cell_angle_beta 90.00
_cell_angle_gamma 90.02
loop_
_atom_site_label
_atom_site_fract_x
_atom_site_fract_y
_atom_site_fract_z
Be1 0.500 0.500 0.750
Fe1 0.000 0.000 0.550
Fe2 0.000 0.000 0.950
Ag1 0.500 0.500 0.250
```

***

The following is a DFT calculation (PBE) of CdPtSe3 after structural relaxation.

polymorph energy (0 for the lowest one)	0.00	eV per formula unit
calculated volume	25.16	A^3/atom
uncorrected formation energy	0.32	eV/atom
E	-3.1656	eV/atom

The structure in CIF format:
```
data_CdPtSe3
_chemical_formula_sum 'Cd1 Pt1 Se3'
_symmetry_space_group_name_H-M 'P 1'
_symmetry_Int_Tables_number 1
_symmetry_space_group_name_Hall 'P 1'
_cell_length_a 5.011
_cell_length_b 5.011
_cell_length_c 5.011
_cell_angle_alpha 90.00
_cell_angle_beta 90.00
_cell_angle_gamma 90.00
loop_
_atom_site_label
_atom_site_fract_x
_atom_site_fract_y
_atom_site_fract_z
Se1 0.500 0.000 0.000
Se2 0.000 0.500 0.000
Se3 0.000 0.000 0.500
Pt1 0.000 0.000 0.000
Cd1 0.500 0.500 0.500
```

***

| no. | size of the total moment (Bohr magnetons per cell) |
| --- | --- |
| 1 | 0.00 |
| 2 | 4.67 |
| 3 | 0.00 |